An optimized crystal structure of ZrSnTeN2, computed with PBE-GGA.

## Properties
For the density of states at the Fermi level, the calculation gives 3.39 states/eV/f.u. For the formation energy (no corrections), the calculation gives 0.29 eV/atom. For the energy relative to the lowest polymorph listed for this composition, the calculation gives 0.0 meV/atom.

Lattice parameters (Å, degrees): 4.283 4.283 5.963 90.00 90.00 90.00
Each line ends with the local moment (μB).
Atoms (fractional coordinates):
Te1 0.000 0.000 0.500  0.02
Sn1 0.500 0.500 0.500  0.00
N1 0.000 0.500 0.000  0.28
N2 0.500 0.000 0.000  0.28
Zr1 0.000 0.000 0.000  -0.03

An optimized crystal structure of Re5Te, computed with PBE-GGA.

## Properties
For the density of states at the Fermi level, the calculation gives 6.30 states/eV/f.u. For the formation energy (no corrections), the calculation gives 0.47 eV/atom. For the energy relative to the lowest polymorph listed for this composition, the calculation gives 88.8 meV/atom.

Lattice parameters (Å, degrees): 4.899 4.899 4.570 90.00 90.00 120.00
Atoms (fractional coordinates):
Re1 0.350 0.350 0.000
Re2 0.000 0.650 0.000
Re3 0.333 0.667 0.500
Re4 0.650 0.000 0.000
Re5 0.667 0.333 0.500
Te1 0.000 0.000 0.500

An optimized crystal structure of Ba3CaAu, computed with PBE-GGA.

## Properties
For the density of states at the Fermi level, the calculation gives 3.54 states/eV/f.u. For the energy relative to the lowest polymorph listed for this composition, the calculation gives 0.0 meV/atom. The value obtained for the energy of formation is -0.2679 eV/atom.

Lattice parameters (Å, degrees): 6.471 6.471 6.471 90.00 90.00 90.00
Atoms (fractional coordinates):
Ba1 0.500 0.000 0.000
Ba2 0.000 0.000 0.500
Ba3 0.000 0.500 0.000
Au1 0.000 0.000 0.000
Ca1 0.500 0.500 0.500

An optimized crystal structure of V6FeCo12, computed with PBE-GGA.

## Properties
For the density of states at the Fermi level, the calculation gives 23.28 states/eV/f.u. The value obtained for the energy of formation is 0.0296 eV/atom.

Lattice parameters (Å, degrees): 6.028 6.028 6.028 91.99 91.99 91.99
Atoms (fractional coordinates):
Co1 0.046 0.142 0.369
Co2 0.207 0.470 0.535
Co3 0.631 0.954 0.858
Co4 0.858 0.631 0.954
Co5 0.470 0.535 0.207
Co6 0.793 0.530 0.465
Co7 0.535 0.207 0.470
Co8 0.465 0.793 0.530
Co9 0.954 0.858 0.631
Co10 0.369 0.046 0.142
Co11 0.530 0.465 0.793
Co12 0.142 0.369 0.046
V1 0.868 0.247 0.705
V2 0.705 0.868 0.247
V3 0.247 0.705 0.868
V4 0.295 0.132 0.753
V5 0.132 0.753 0.295
V6 0.753 0.295 0.132
Fe1 0.000 0.000 0.000

An optimized crystal structure of Er3ScBi4, computed with PBE-GGA.

## Properties
For the density of states at the Fermi level, the calculation gives 1.38 states/eV/f.u. The value obtained for the energy of formation is -0.7676 eV/atom.

Lattice parameters (Å, degrees): 4.407 7.629 7.629 109.46 90.00 90.00
Atoms (fractional coordinates):
Bi1 0.000 0.242 0.242
Bi2 0.000 0.758 0.758
Bi3 0.500 0.754 0.246
Bi4 0.500 0.246 0.754
Er1 0.500 0.500 0.500
Er2 0.000 0.000 0.500
Er3 0.000 0.500 0.000
Sc1 0.500 0.000 0.000